Computed, not measured: an optimized crystal structure of AcSnPt4 at the PBE level of DFT.

abc: 4.2410 17.4050 6.7053
angles: 90.00 90.00 90.00
Last column: nearest neighbours and their distance in Å.
Space group Cmcm (No. 63)
Inequivalent atoms, fractional coordinates:
Ac 0.0000 0.0967 0.2500 x4  9 Pt 3.00-3.18
Sn 0.0000 0.2358 0.7500 x4  7 Pt 2.68-2.82
Pt 0.0000 0.0757 0.7500 x4  1 Sn 2.79, 8 Pt 2.92-3.01, 1 Ac 3.00
Pt 0.0000 0.3384 0.0491 x8  3 Sn 2.68-2.82, 4 Pt 2.69-2.92
Pt 0.0000 0.5000 0.0000 x4  6 Pt 2.83-3.01

Properties
Its formation energy is -674 meV per atom. The value obtained for the offset from the most stable computed form is 58 meV per atom. The electronic total energy comes out at -6.0532 eV/atom.